Crystalline PmBiAs2Pd5 at its relaxed geometry, computed with PBE-GGA.

Cell lengths 4.774, 4.774, 7.697 Å; angles 90.00, 90.00, 90.00 degrees
Space group P4/mmm (No. 123)
Unique sites:
1 Pm 0.000 0.000 0.000 x1
2 Bi 0.000 0.000 0.500 x1
3 As 0.500 0.500 0.331 x2
4 Pd 0.000 0.500 0.241 x4
5 Pd 0.500 0.500 0.000 x1

## Properties
Electronic total energy   -5.366 eV per atom
Volume   175.43 Å³ per cell
DOS(E_F)   3.25 states/eV/cell
Energy of formation from the pure elements   -0.49 eV per atom

***

Crystalline Pr3BiAs2Pd9 at its relaxed geometry, computed with PBE-GGA.

Cell lengths 5.8036, 5.8036, 11.7987 Å; angles 90.00, 90.00, 120.00 degrees
Space group P-3m1 (No. 164)
Unique sites:
1 Pr 0.0000 0.0000 0.0000 x1
2 Pr 0.3333 0.6667 0.7635 x2
3 Bi 0.0000 0.0000 0.5000 x1
4 As 0.3333 0.6667 0.1600 x2
5 Pd 0.0000 0.5000 0.0000 x3
6 Pd 0.1644 0.3288 0.3150 x6

## Properties
Electronic total energy   -5.501 eV per atom
Volume   344.16 Å³ per cell
DOS(E_F)   6.14 states/eV/cell
Energy of formation from the pure elements   -0.55 eV per atom

***

Crystalline Bi2As2PdPt7 at its relaxed geometry, computed with PBE-GGA.

Cell lengths 5.623, 5.622, 15.530 Å; angles 90.00, 100.36, 90.00 degrees
Space group C2/m (No. 12)
Unique sites:
1 Bi 0.211 0.000 0.423 x4
2 As 0.115 0.500 0.232 x4
3 Pd 0.000 0.000 0.000 x2
4 Pt 0.000 0.500 0.000 x2
5 Pt 0.184 0.250 0.865 x8
6 Pt 0.196 0.500 0.392 x4

## Properties
Electronic total energy   -5.626 eV per atom
Volume   482.98 Å³ per cell
DOS(E_F)   15.94 states/eV/cell
Energy of formation from the pure elements   -0.25 eV per atom

***

Crystalline Bi2As2Pd7Pt at its relaxed geometry, computed with PBE-GGA.

Cell lengths 5.696, 5.702, 14.359 Å; angles 90.00, 96.87, 90.00 degrees
Space group C2/m (No. 12)
Unique sites:
1 Bi 0.124 0.000 0.400 x4
2 As 0.072 0.500 0.241 x4
3 Pd 0.000 0.500 0.000 x2
4 Pd 0.128 0.500 0.416 x4
5 Pd 0.208 0.250 0.860 x8
6 Pt 0.000 0.000 0.000 x2

## Properties
Electronic total energy   -5.143 eV per atom
Volume   462.98 Å³ per cell
DOS(E_F)   17.48 states/eV/cell
Energy of formation from the pure elements   -0.19 eV per atom

***

Crystalline Re2BiAsPd at its relaxed geometry, computed with PBE-GGA.

Cell lengths 5.093, 5.093, 4.945 Å; angles 90.00, 90.00, 90.00 degrees
Space group P4/mmm (No. 123)
Unique sites:
1 Re 0.000 0.500 0.000 x2
2 Bi 0.000 0.000 0.000 x1
3 As 0.500 0.500 0.500 x1
4 Pd 0.000 0.000 0.500 x1

## Properties
Electronic total energy   -5.295 eV per atom
Volume   128.27 Å³ per cell
DOS(E_F)   4.09 states/eV/cell
Energy of formation from the pure elements   2.43 eV per atom

***

Crystalline Bi2AsPdRh at its relaxed geometry, computed with PBE-GGA.

Cell lengths 5.512, 5.512, 4.492 Å; angles 90.00, 90.00, 90.00 degrees
Space group P4/mmm (No. 123)
Unique sites:
1 Bi 0.000 0.500 0.000 x2
2 As 0.000 0.000 0.000 x1
3 Pd 0.500 0.500 0.500 x1
4 Rh 0.000 0.000 0.500 x1

## Properties
Electronic total energy   -4.377 eV per atom
Volume   136.48 Å³ per cell
DOS(E_F)   1.80 states/eV/cell
Energy of formation from the pure elements   0.61 eV per atom

***

Crystalline BiSb2AsPd at its relaxed geometry, computed with PBE-GGA.

Cell lengths 5.259, 5.259, 5.530 Å; angles 90.00, 90.00, 90.00 degrees
Space group P4/mmm (No. 123)
Unique sites:
1 Bi 0.000 0.000 0.000 x1
2 Sb 0.000 0.500 0.500 x2
3 As 0.000 0.000 0.500 x1
4 Pd 0.500 0.500 0.000 x1

## Properties
Electronic total energy   -3.578 eV per atom
Volume   152.98 Å³ per cell
DOS(E_F)   2.04 states/eV/cell
Formation energy without anion corrections   816 meV/atom

***

Crystalline Bi2SbAs2Pd7 at its relaxed geometry, computed with PBE-GGA.

Cell lengths 5.748, 5.759, 14.509 Å; angles 90.00, 96.69, 90.00 degrees
Space group C2/m (No. 12)
Unique sites:
1 Bi 0.128 0.000 0.403 x4
2 Sb 0.000 0.000 0.000 x2
3 As 0.071 0.500 0.244 x4
4 Pd 0.000 0.500 0.000 x2
5 Pd 0.132 0.500 0.416 x4
6 Pd 0.208 0.250 0.857 x8

## Properties
Electronic total energy   -5.102 eV per atom
Volume   477.03 Å³ per cell
DOS(E_F)   10.80 states/eV/cell
Formation energy without anion corrections   -308 meV/atom

***

Crystalline BiAsPdSe2 at its relaxed geometry, computed with PBE-GGA.

Cell lengths 5.081, 5.081, 4.742 Å; angles 90.00, 90.00, 90.00 degrees
Space group P4/mmm (No. 123)
Unique sites:
1 Bi 0.000 0.000 0.000 x1
2 As 0.500 0.500 0.000 x1
3 Pd 0.500 0.500 0.500 x1
4 Se 0.000 0.500 0.500 x2

## Properties
Electronic total energy   -3.892 eV per atom
Offset from the most stable computed form   0.00 eV/f.u.
Volume   122.43 Å³ per cell
DOS(E_F)   3.57 states/eV/cell
Formation energy without anion corrections   246 meV/atom

***

Crystalline Sn2BiAs2Pd7 at its relaxed geometry, computed with PBE-GGA.

Cell lengths 6.067, 5.976, 12.504 Å; angles 90.00, 95.67, 90.00 degrees
Space group C2/m (No. 12)
Unique sites:
1 Sn 0.061 0.000 0.337 x4
2 Bi 0.000 0.000 0.000 x2
3 As 0.054 0.500 0.279 x4
4 Pd 0.000 0.500 0.000 x2
5 Pd 0.218 0.249 0.832 x8
6 Pd 0.218 0.500 0.470 x4

## Properties
Electronic total energy   -5.054 eV per atom
Volume   451.19 Å³ per cell
DOS(E_F)   8.16 states/eV/cell
Energy of formation from the pure elements   -0.26 eV per atom

***

Crystalline Sr2Bi3AsPd4 at its relaxed geometry, computed with PBE-GGA.

Cell lengths 4.812, 4.812, 10.724 Å; angles 90.00, 90.00, 90.00 degrees
Space group P-4m2 (No. 115)
Unique sites:
1 Sr 0.000 0.500 0.248 x2
2 Bi 0.000 0.500 0.869 x2
3 Bi 0.500 0.500 0.500 x1
4 As 0.000 0.000 0.500 x1
5 Pd 0.000 0.000 0.000 x1
6 Pd 0.000 0.500 0.615 x2
7 Pd 0.500 0.500 0.000 x1

## Properties
Electronic total energy   -4.645 eV per atom
Volume   248.36 Å³ per cell
DOS(E_F)   5.37 states/eV/cell
Energy of formation from the pure elements   -0.60 eV per atom

***

Crystalline Sr3BiAs2Pd9 at its relaxed geometry, computed with PBE-GGA.

Cell lengths 6.5966, 6.5966, 9.3913 Å; angles 90.00, 90.00, 120.00 degrees
Space group P-3m1 (No. 164)
Unique sites:
1 Sr 0.0000 0.0000 0.0000 x1
2 Sr 0.3333 0.6667 0.6934 x2
3 Bi 0.0000 0.0000 0.5000 x1
4 As 0.3333 0.6667 0.1670 x2
5 Pd 0.0000 0.5000 0.0000 x3
6 Pd 0.1452 0.2904 0.2743 x6

## Properties
Electronic total energy   -4.835 eV per atom
Volume   353.91 Å³ per cell
DOS(E_F)   6.38 states/eV/cell
Energy of formation from the pure elements   -0.50 eV per atom

***

Crystalline SrBi2AsPd at its relaxed geometry, computed with PBE-GGA.

Cell lengths 6.049, 6.049, 5.543 Å; angles 90.00, 90.00, 90.00 degrees
Space group P4/mmm (No. 123)
Unique sites:
1 Sr 0.000 0.000 0.000 x1
2 Bi 0.000 0.500 0.000 x2
3 As 0.000 0.000 0.500 x1
4 Pd 0.500 0.500 0.500 x1

## Properties
Electronic total energy   -2.755 eV per atom
Volume   202.86 Å³ per cell
DOS(E_F)   6.65 states/eV/cell
Energy of formation from the pure elements   1.10 eV per atom

***

Crystalline SrBiAs2Pd5 at its relaxed geometry, computed with PBE-GGA.

Cell lengths 4.374, 4.374, 10.649 Å; angles 90.00, 90.00, 90.00 degrees
Space group P4/mmm (No. 123)
Unique sites:
1 Sr 0.000 0.000 0.000 x1
2 Bi 0.000 0.000 0.500 x1
3 As 0.500 0.500 0.223 x2
4 Pd 0.000 0.500 0.331 x4
5 Pd 0.500 0.500 0.000 x1

## Properties
Electronic total energy   -4.960 eV per atom
Volume   203.74 Å³ per cell
DOS(E_F)   5.71 states/eV/cell
Energy of formation from the pure elements   -0.42 eV per atom

***

Crystalline TaBiAsPd2 at its relaxed geometry, computed with PBE-GGA.

Cell lengths 4.940, 4.940, 5.344 Å; angles 90.00, 90.00, 90.00 degrees
Space group P4/mmm (No. 123)
Unique sites:
1 Ta 0.000 0.000 0.000 x1
2 Bi 0.000 0.000 0.500 x1
3 As 0.500 0.500 0.000 x1
4 Pd 0.000 0.500 0.500 x2

## Properties
Electronic total energy   -4.845 eV per atom
Volume   130.42 Å³ per cell
DOS(E_F)   6.36 states/eV/cell
Energy of formation from the pure elements   1.31 eV per atom

***

Crystalline ThBi2As2Pd7 at its relaxed geometry, computed with PBE-GGA.

Cell lengths 5.913, 5.848, 14.276 Å; angles 90.00, 96.05, 90.00 degrees
Space group C2/m (No. 12)
Unique sites:
1 Th 0.000 0.000 0.000 x2
2 Bi 0.121 0.000 0.393 x4
3 As 0.067 0.500 0.253 x4
4 Pd 0.000 0.500 0.000 x2
5 Pd 0.148 0.500 0.428 x4
6 Pd 0.211 0.250 0.850 x8

## Properties
Electronic total energy   -5.535 eV per atom
Volume   490.90 Å³ per cell
DOS(E_F)   9.38 states/eV/cell
Energy of formation from the pure elements   -0.47 eV per atom

***

Crystalline TlBiAsPd3 at its relaxed geometry, computed with PBE-GGA.

Cell lengths 7.084, 13.895, 5.614 Å; angles 90.00, 115.62, 90.00 degrees
Space group C2/c (No. 15)
Unique sites:
1 Tl 0.000 0.232 0.250 x4
2 Bi 0.000 0.403 0.750 x4
3 As 0.000 0.022 0.750 x4
4 Pd 0.000 0.201 0.750 x4
5 Pd 0.221 0.419 0.392 x8

## Properties
Electronic total energy   -4.579 eV per atom
Volume   498.25 Å³ per cell
DOS(E_F)   12.32 states/eV/cell
Energy of formation from the pure elements   -0.17 eV per atom

***

Crystalline YBi2As2Pd7 at its relaxed geometry, computed with PBE-GGA.

Cell lengths 5.808, 5.779, 14.324 Å; angles 90.00, 96.42, 90.00 degrees
Space group C2/m (No. 12)
Unique sites:
1 Y 0.000 0.000 0.000 x2
2 Bi 0.126 0.000 0.392 x4
3 As 0.071 0.500 0.250 x4
4 Pd 0.000 0.500 0.000 x2
5 Pd 0.146 0.500 0.426 x4
6 Pd 0.208 0.250 0.850 x8

## Properties
Electronic total energy   -5.453 eV per atom
Volume   477.78 Å³ per cell
DOS(E_F)   11.92 states/eV/cell
Energy of formation from the pure elements   -0.46 eV per atom

***

Crystalline ZnBi2As2Pd7 at its relaxed geometry, computed with PBE-GGA.

Cell lengths 5.728, 5.683, 13.954 Å; angles 90.00, 97.54, 90.00 degrees
Space group C2/m (No. 12)
Unique sites:
1 Zn 0.000 0.000 0.000 x2
2 Bi 0.125 0.000 0.382 x4
3 As 0.078 0.500 0.244 x4
4 Pd 0.000 0.500 0.000 x2
5 Pd 0.151 0.500 0.427 x4
6 Pd 0.205 0.250 0.861 x8

## Properties
Electronic total energy   -4.856 eV per atom
Volume   450.22 Å³ per cell
DOS(E_F)   11.78 states/eV/cell
Energy of formation from the pure elements   -0.30 eV per atom

***

Crystalline Pm2BiAs at its relaxed geometry, computed with PBE-GGA.

Cell lengths 7.648, 7.648, 7.648 Å; angles 90.00, 90.00, 90.00 degrees
Space group Fm-3m (No. 225)
Unique sites:
1 Pm 0.250 0.250 0.250 x8
2 Bi 0.000 0.000 0.000 x4
3 As 0.000 0.000 0.500 x4

## Properties
Electronic total energy   -5.312 eV per atom
Offset from the most stable computed form   1.63 eV/f.u.
Volume   447.35 Å³ per cell
DOS(E_F)   13.57 states/eV/cell
Energy of formation from the pure elements   -0.80 eV per atom

***

Crystalline Pm2BiAs at its relaxed geometry, computed with PBE-GGA.

Cell lengths 4.3758, 4.3758, 21.8716 Å; angles 90.00, 90.00, 120.00 degrees
Space group R-3m (No. 166, hexagonal axes)
Unique sites:
1 Pm 0.0000 0.0000 0.2425 x6
2 Bi 0.0000 0.0000 0.0000 x3
3 As 0.0000 0.0000 0.5000 x3

## Properties
Electronic total energy   -5.720 eV per atom
Offset from the most stable computed form   0.00 eV/f.u.
Volume   362.73 Å³ per cell
DOS(E_F)   2.43 states/eV/cell
Energy of formation from the pure elements   -1.21 eV per atom

***

Crystalline Pm4Bi2As at its relaxed geometry, computed with PBE-GGA.

Cell lengths 5.421, 5.421, 16.620 Å; angles 90.00, 90.00, 90.00 degrees
Space group I4/mmm (No. 139)
Unique sites:
1 Pm 0.000 0.000 0.171 x4
2 Pm 0.000 0.500 0.000 x4
3 Bi 0.000 0.000 0.365 x4
4 As 0.000 0.000 0.000 x2

## Properties
Electronic total energy   -5.166 eV per atom
Volume   488.50 Å³ per cell
DOS(E_F)   12.60 states/eV/cell
Energy of formation from the pure elements   -0.68 eV per atom

***

Crystalline Pm2BiAs at its relaxed geometry, computed with PBE-GGA.

Cell lengths 4.3458, 4.3458, 22.5456 Å; angles 90.00, 90.00, 120.00 degrees
Space group R3m (No. 160, hexagonal axes)
Unique sites:
1 Pm 0.0000 0.0000 0.0000 x3
2 Pm 0.0000 0.0000 0.1849 x3
3 Bi 0.0000 0.0000 0.4250 x3
4 As 0.0000 0.0000 0.5940 x3

## Properties
Electronic total energy   -5.626 eV per atom
Offset from the most stable computed form   0.38 eV/f.u.
Volume   368.75 Å³ per cell
DOS(E_F)   4.42 states/eV/cell
Energy of formation from the pure elements   -1.12 eV per atom

***

| no. | spin magnetization (Bohr magnetons per cell) |
| --- | --- |
| 1 | 0.00 |
| 2 | 0.00 |
| 3 | 0.00 |
| 4 | 0.00 |
| 5 | 3.63 |
| 6 | 0.00 |
| 7 | 0.00 |
| 8 | 0.00 |
| 9 | 0.00 |
| 10 | 0.00 |
| 11 | 0.00 |
| 12 | 0.00 |
| 13 | 0.00 |
| 14 | 0.00 |
| 15 | 0.00 |
| 16 | 0.00 |
| 17 | 0.00 |
| 18 | 0.00 |
| 19 | 0.00 |
| 20 | 0.01 |
| 21 | 0.00 |
| 22 | 0.00 |
| 23 | 0.00 |